La2CoBr after structural relaxation, computed with PBEsol.

Properties
Calculated volume   23.4 Å³ per atom
N(E_F)   0.7724 states/eV per atom
Relative energy among the computed polymorphs   0.159 eV/atom
Space-group type   Cmmm (65)
Energy relative to the elements, uncorrected   -0.651 eV per atom

```
La2CoBr
1.0
4.8241 0.0000 0.0000
0.0000 4.8401 0.0000
0.0000 0.0000 8.0335
La Co Br
4 2 2
Cartesian
0.0000 0.0000 1.6734
0.0000 0.0000 6.3601
2.4120 2.4200 1.6734
2.4120 2.4200 6.3601
0.0000 2.4200 0.0000
2.4120 0.0000 0.0000
0.0000 2.4200 4.0167
2.4120 0.0000 4.0167
```

LiCoBr2 after structural relaxation, computed with PBEsol.

Properties
Calculated volume   17.8 Å³ per atom
N(E_F)   1.0028 states/eV per atom
Relative energy among the computed polymorphs   0.307 eV/atom
Space-group type   Fm-3m (225)
Energy relative to the elements, uncorrected   -0.188 eV per atom

```
LiCoBr2
1.0
6.5752 0.0000 0.0000
0.0000 6.5752 0.0000
0.0000 0.0000 6.5752
Li Co Br
4 4 8
Cartesian
0.0000 0.0000 0.0000
0.0000 3.2876 3.2876
3.2876 0.0000 3.2876
3.2876 3.2876 0.0000
0.0000 0.0000 3.2876
0.0000 3.2876 0.0000
3.2876 0.0000 0.0000
3.2876 3.2876 3.2876
1.6438 1.6438 1.6438
1.6438 1.6438 4.9314
1.6438 4.9314 1.6438
1.6438 4.9314 4.9314
4.9314 1.6438 1.6438
4.9314 1.6438 4.9314
4.9314 4.9314 1.6438
4.9314 4.9314 4.9314
```

LiCoBr2 after structural relaxation, computed with PBEsol.

Properties
Calculated volume   18.1 Å³ per atom
N(E_F)   0.7109 states/eV per atom
Relative energy among the computed polymorphs   0.000 eV/atom
Space-group type   P4/mmm (123)
Energy relative to the elements, uncorrected   -0.495 eV per atom

```
LiCoBr2
1.0
3.7136 0.0000 0.0000
0.0000 3.7136 0.0000
0.0000 0.0000 5.2566
Li Co Br
1 1 2
Cartesian
0.0000 0.0000 0.0000
1.8568 1.8568 2.6283
0.0000 0.0000 2.6283
1.8568 1.8568 0.0000
```

LiCo2Br after structural relaxation, computed with PBEsol.

Properties
Calculated volume   13.2 Å³ per atom
N(E_F)   1.1642 states/eV per atom
Space-group type   F-43m (216)
Energy relative to the elements, uncorrected   0.513 eV per atom

```
LiCo2Br
1.0
5.9511 0.0000 0.0000
0.0000 5.9511 0.0000
0.0000 0.0000 5.9511
Li Co Br
4 8 4
Cartesian
0.0000 0.0000 0.0000
0.0000 2.9755 2.9755
2.9755 0.0000 2.9755
2.9755 2.9755 0.0000
0.0000 0.0000 2.9755
0.0000 2.9755 0.0000
1.4878 1.4878 4.4633
1.4878 4.4633 1.4878
2.9755 0.0000 0.0000
2.9755 2.9755 2.9755
4.4633 1.4878 1.4878
4.4633 4.4633 4.4633
1.4878 1.4878 1.4878
1.4878 4.4633 4.4633
4.4633 1.4878 4.4633
4.4633 4.4633 1.4878
```

LiCoBr2 after structural relaxation, computed with PBEsol.

Properties
Calculated volume   21.3 Å³ per atom
N(E_F)   1.0053 states/eV per atom
Relative energy among the computed polymorphs   0.133 eV/atom
Space-group type   Immm (71)
Energy relative to the elements, uncorrected   -0.362 eV per atom

```
LiCoBr2
1.0
3.6476 0.0000 0.0000
0.0000 6.6021 0.0000
0.0000 0.0000 7.0733
Li Co Br
2 2 4
Cartesian
0.0000 0.0000 0.0000
1.8238 3.3010 3.5367
0.0000 0.0000 3.5367
1.8238 3.3010 0.0000
0.0000 3.3010 1.6195
0.0000 3.3010 5.4538
1.8238 0.0000 1.9171
1.8238 0.0000 5.1562
```

LiCoBr2 after structural relaxation, computed with PBEsol.

Properties
Calculated volume   20.9 Å³ per atom
N(E_F)   0.9328 states/eV per atom
Relative energy among the computed polymorphs   0.164 eV/atom
Space-group type   C2/m (12)
Energy relative to the elements, uncorrected   -0.331 eV per atom

```
LiCoBr2
1.0
7.0760 0.0000 0.0000
0.0000 7.0090 0.0000
-1.6060 0.0000 3.3740
Li Co Br
2 2 4
Cartesian
0.0000 0.0000 0.0000
3.5380 3.5045 0.0000
0.0000 3.5045 0.0000
3.5380 0.0000 0.0000
1.7690 1.7522 0.0000
1.7690 5.2567 0.0000
5.3070 1.7522 0.0000
5.3070 5.2567 0.0000
```

LiCoBr2 after structural relaxation, computed with PBEsol.

Properties
Calculated volume   22.1 Å³ per atom
N(E_F)   1.1956 states/eV per atom
Relative energy among the computed polymorphs   0.178 eV/atom
Space-group type   I-4m2 (119)
Energy relative to the elements, uncorrected   -0.316 eV per atom

```
LiCoBr2
1.0
3.5217 0.0000 0.0000
0.0000 3.5217 0.0000
0.0000 0.0000 14.2321
Li Co Br
2 2 4
Cartesian
0.0000 0.0000 0.0000
1.7609 1.7609 7.1161
0.0000 1.7609 10.6741
1.7609 0.0000 3.5580
0.0000 0.0000 7.1161
0.0000 1.7609 3.5580
1.7609 0.0000 10.6741
1.7609 1.7609 0.0000
```

MgCo2Br after structural relaxation, computed with PBEsol.

Properties
Calculated volume   14.4 Å³ per atom
N(E_F)   1.5013 states/eV per atom
Relative energy among the computed polymorphs   0.000 eV/atom
Space-group type   I-4m2 (119)
Energy relative to the elements, uncorrected   0.579 eV per atom

```
MgCo2Br
1.0
3.7763 0.0000 0.0000
0.0000 3.7763 0.0000
0.0000 0.0000 8.0674
Mg Co Br
2 4 2
Cartesian
0.0000 0.0000 0.0000
1.8882 1.8882 4.0337
0.0000 0.0000 4.0337
0.0000 1.8882 6.0506
1.8882 0.0000 2.0169
1.8882 1.8882 0.0000
0.0000 1.8882 2.0169
1.8882 0.0000 6.0506
```

- Which value of N(E_F) does entry 8 give?
  1.5013 states/eV per atom

- Among the records above, which one has the highest calculated volume?
  La2CoBr

- Which of these has the lowest energy relative to the elements, uncorrected?
  La2CoBr